# 1
Compound: LaAlOs2C
Source: Alexandria via LeMat-Bulk
Functional: PBE
Structure: relaxed

Lattice parameters (Å, degrees): 5.953 5.953 7.297 90.00 90.00 138.96
Positions (direct):
La: 0.051 0.949 0.750
La: 0.949 0.051 0.250
Al: 0.228 0.772 0.250
Al: 0.772 0.228 0.750
Os: 0.334 0.666 0.562
Os: 0.334 0.666 0.938
Os: 0.666 0.334 0.062
Os: 0.666 0.334 0.438
C: 0.500 0.500 0.000
C: 0.500 0.500 0.500

Total moment   0.00 μB per formula unit

=====

# 2
Compound: La2AlPbC
Source: Alexandria via LeMat-Bulk
Functional: PBE
Structure: relaxed

Lattice parameters (Å, degrees): 5.506 5.506 4.001 90.00 90.00 90.00
Positions (direct):
La: 0.000 0.500 0.000
La: 0.500 0.000 0.000
Al: 0.000 0.000 0.500
Pb: 0.500 0.500 0.500
C: 0.000 0.000 0.000

Total moment   0.00 μB per formula unit

=====

Number 1: raw total energy -83.8 eV/cell, calculated formation energy -310 meV/atom. Number 2: raw total energy -28.2 eV/cell, calculated formation energy -326 meV/atom.